## a
DFT (PBE) results for a relaxed structure of TbHoNiAu.

a = 4.9557 Å, b = 4.9557 Å, c = 4.9557 Å
α = 60.00°, β = 60.00°, γ = 60.00°
Positions (direct):
1 Ni 0.2500 0.2500 0.2500
2 Ho 0.0000 0.0000 0.0000
3 Tb 0.5000 0.5000 0.5000
4 Au 0.7500 0.7500 0.7500

Computed properties:
* M_tot: 0.0 μB per formula unit

=====

## b
DFT (PBE) results for a relaxed structure of TbHoNiAu.

a = 3.7630 Å, b = 4.5300 Å, c = 5.5442 Å
α = 90.00°, β = 109.84°, γ = 90.00°
Positions (direct):
1 Ni 0.4180 0.0000 0.8359
2 Tb 0.1420 0.0000 0.2840
3 Ho 0.8617 0.5000 0.7233
4 Au 0.5784 0.5000 0.1568

Computed properties:
* M_tot: 0.0 μB per formula unit

=====

Here is how they stack up, most stable first: b, a.

=====

## a
DFT (PBE) results for a relaxed structure of HoThNiAu.

a = 3.8279 Å, b = 4.2400 Å, c = 6.0311 Å
α = 90.00°, β = 108.50°, γ = 90.00°
Positions (direct):
1 Th 0.8684 0.5000 0.7367
2 Ni 0.4023 0.0000 0.8047
3 Ho 0.1469 0.0000 0.2937
4 Au 0.5824 0.5000 0.1649

Computed properties:
* M_tot: 0.0 μB per formula unit

=====

## b
DFT (PBE) results for a relaxed structure of HoThNiAu.

a = 5.0513 Å, b = 5.0513 Å, c = 5.0513 Å
α = 60.00°, β = 60.00°, γ = 60.00°
Positions (direct):
1 Th 0.5000 0.5000 0.5000
2 Ho 0.0000 0.0000 0.0000
3 Au 0.7500 0.7500 0.7500
4 Ni 0.2500 0.2500 0.2500

Computed properties:
* M_tot: 0.0 μB per formula unit

=====

Here is how they stack up, most stable first: a, b.

=====

## a
DFT (PBE) results for a relaxed structure of HoTmNiAu.

a = 4.9078 Å, b = 4.9078 Å, c = 4.9078 Å
α = 60.00°, β = 60.00°, γ = 60.00°
Positions (direct):
1 Au 0.7500 0.7500 0.7500
2 Ni 0.2500 0.2500 0.2500
3 Tm 0.5000 0.5000 0.5000
4 Ho 0.0000 0.0000 0.0000

Computed properties:
* M_tot: 0.0 μB per formula unit

=====

## b
DFT (PBE) results for a relaxed structure of HoTmNiAu.

a = 3.7049 Å, b = 4.4693 Å, c = 5.5424 Å
α = 90.00°, β = 109.53°, γ = 90.00°
Positions (direct):
1 Ni 0.4175 0.0000 0.8349
2 Au 0.5800 0.5000 0.1600
3 Tm 0.1415 0.0000 0.2830
4 Ho 0.8611 0.5000 0.7221

Computed properties:
* M_tot: 0.0 μB per formula unit

=====

Here is how they stack up, most stable first: b, a.

=====

## a
DFT (PBE) results for a relaxed structure of YHoNiAu.

a = 4.9520 Å, b = 4.9520 Å, c = 4.9520 Å
α = 60.00°, β = 60.00°, γ = 60.00°
Positions (direct):
1 Ni 0.5000 0.5000 0.5000
2 Ho 0.2500 0.2500 0.2500
3 Au 0.0000 0.0000 0.0000
4 Y 0.7500 0.7500 0.7500

Computed properties:
* M_tot: 0.0 μB per formula unit

=====

## b
DFT (PBE) results for a relaxed structure of YHoNiAu.

a = 3.7594 Å, b = 4.5193 Å, c = 5.5539 Å
α = 90.00°, β = 109.78°, γ = 90.00°
Positions (direct):
1 Y 0.1421 0.0000 0.2842
2 Ni 0.4181 0.0000 0.8363
3 Au 0.5782 0.5000 0.1563
4 Ho 0.8616 0.5000 0.7232

Computed properties:
* M_tot: 0.0 μB per formula unit

=====

Here is how they stack up, most stable first: b, a.

=====

## a
DFT (PBE) results for a relaxed structure of Ho4OsAu.

a = 4.8395 Å, b = 4.8403 Å, c = 6.9241 Å
α = 89.94°, β = 89.97°, γ = 90.00°
Positions (direct):
1 Ho 0.5015 0.9977 0.7355
2 Ho 0.0011 0.4969 0.2608
3 Ho 0.5011 0.9969 0.2607
4 Ho 0.0015 0.4976 0.7355
5 Os 0.0013 0.9973 0.4982
6 Au 0.5013 0.4973 0.9981

Computed properties:
* M_tot: 0.0 μB per formula unit

=====

## b
DFT (PBE) results for a relaxed structure of Ho4OsAu.

a = 6.2101 Å, b = 7.4889 Å, c = 7.4889 Å
α = 112.78°, β = 98.07°, γ = 98.07°
Positions (direct):
1 Os 0.7500 0.0009 0.9991
2 Os 0.2500 0.9991 0.0009
3 Ho 0.0368 0.9306 0.2768
4 Ho 0.9206 0.6316 0.7817
5 Ho 0.5794 0.2183 0.3684
6 Ho 0.4206 0.7817 0.6316
7 Ho 0.5368 0.2768 0.9306
8 Ho 0.4632 0.7232 0.0694
9 Ho 0.9632 0.0694 0.7232
10 Ho 0.0794 0.3684 0.2183
11 Au 0.2500 0.3712 0.6288
12 Au 0.7500 0.6288 0.3712

Computed properties:
* M_tot: 0.0 μB per formula unit

=====

Here is how they stack up, most stable first: b, a.

=====

## a
DFT (PBE) results for a relaxed structure of HoPaAu.

a = 3.2957 Å, b = 5.0423 Å, c = 5.0423 Å
α = 120.00°, β = 90.00°, γ = 90.00°
Last column: magnetic moment on the atom in μB.
Positions (direct):
1 Pa 0.0583 0.0000 0.0000  0.19
2 Ho 0.6421 0.6667 0.3333  0.03
3 Au 0.2996 0.3333 0.6667  0.00

Computed properties:
* M_tot: 0.2 μB per formula unit

=====

## b
DFT (PBE) results for a relaxed structure of HoPaAu.

a = 3.3481 Å, b = 3.3481 Å, c = 7.0329 Å
α = 103.77°, β = 103.77°, γ = 90.00°
Last column: magnetic moment on the atom in μB.
Positions (direct):
1 Au 0.6721 0.6721 0.3441  0.00
2 Pa 0.0105 0.0105 0.0209  0.22
3 Ho 0.3175 0.3175 0.6349  0.01

Computed properties:
* M_tot: 0.3 μB per formula unit

=====

Here is how they stack up, most stable first: b, a.

=====

## a
DFT (PBE) results for a relaxed structure of Ho2PaAu.

a = 3.2717 Å, b = 3.2717 Å, c = 11.3656 Å
α = 81.72°, β = 81.72°, γ = 60.00°
Positions (direct):
1 Au 0.5000 0.5000 0.5000
2 Pa 0.0000 0.0000 0.0000
3 Ho 0.0959 0.0959 0.7123
4 Ho 0.9041 0.9041 0.2877

Computed properties:
* M_tot: 0.0 μB per formula unit

=====

## b
DFT (PBE) results for a relaxed structure of Ho2PaAu.

a = 3.5094 Å, b = 3.5094 Å, c = 8.1823 Å
α = 90.00°, β = 90.00°, γ = 90.00°
Positions (direct):
1 Ho 0.0000 0.0000 0.2219
2 Ho 0.0000 0.0000 0.7781
3 Au 0.5000 0.5000 0.0000
4 Pa 0.5000 0.5000 0.5000

Computed properties:
* M_tot: 0.0 μB per formula unit

=====

Here is how they stack up, most stable first: b, a.